## MgTa2Ru (PBE)

Data for a relaxed MgTa2Ru crystal.

Values from the calculation:
total moment	0.00	μB per atom
formation energy	3.7	kJ per mole of atoms
DOS at the Fermi energy	4.11	states/eV/f.u.
uncorrected energy	-34.42	eV for the cell shown

Unit cell a=2.8811 b=2.8811 c=9.0850 alpha=90.00 beta=90.00 gamma=111.62
With the nearest neighbours (Å) after each atom.
Fractional positions:
Mg 0.0000 0.0000 0.5188  2 Ru 2.73, 4 Mg 2.88, 2 Ta 3.03
Ru 0.5000 0.5000 0.7609  2 Ta 2.59, 2 Mg 2.73, 4 Ru 2.88
Ta 0.5000 0.5000 0.2373  6 Ta 2.82-2.88, 2 Mg 3.03
Ta 0.0000 0.0000 0.9830  2 Ru 2.59, 6 Ta 2.82-2.88

---

## MgTaRu (PBE)

Data for a relaxed MgTaRu crystal.

Values from the calculation:
total moment	0.00	μB per atom
formation energy	13.6	kJ per mole of atoms
DOS at the Fermi energy	2.00	states/eV/f.u.
uncorrected energy	-89.20	eV for the cell shown

Unit cell a=4.4596 b=6.1687 c=8.4514 alpha=90.00 beta=90.00 gamma=90.00
With the nearest neighbours (Å) after each atom.
Fractional positions:
Ru 0.2500 0.1762 0.6363  4 Ta 2.46-2.65
Ru 0.7500 0.8238 0.3637  4 Ta 2.46-2.65
Ru 0.2500 0.3238 0.1363  4 Ta 2.46-2.65
Ru 0.7500 0.6762 0.8637  4 Ta 2.46-2.65
Ta 0.7500 0.5559 0.1408  4 Ru 2.46-2.65
Ta 0.7500 0.9441 0.6408  4 Ru 2.46-2.65
Ta 0.2500 0.4441 0.8592  4 Ru 2.46-2.65
Ta 0.2500 0.0559 0.3592  4 Ru 2.46-2.65
Mg 0.2500 0.5699 0.4095  3 Ru 2.75-2.76, 2 Mg 2.84, 1 Ta 3.03
Mg 0.7500 0.0699 0.0905  3 Ru 2.75-2.76, 2 Mg 2.84, 1 Ta 3.03
Mg 0.7500 0.4301 0.5905  3 Ru 2.75-2.76, 2 Mg 2.84, 1 Ta 3.03
Mg 0.2500 0.9301 0.9095  3 Ru 2.75-2.76, 2 Mg 2.84, 1 Ta 3.03

---

## MgTa2Ru (PBE)

Data for a relaxed MgTa2Ru crystal.

Values from the calculation:
total moment	0.00	μB per atom
formation energy	-6.1	kJ per mole of atoms
DOS at the Fermi energy	2.21	states/eV/f.u.
uncorrected energy	-34.83	eV for the cell shown

Unit cell a=3.1374 b=3.1374 c=7.1068 alpha=90.00 beta=90.00 gamma=90.00
With the nearest neighbours (Å) after each atom.
Fractional positions:
Ru 0.5000 0.5000 0.7674  4 Ta 2.63, 4 Mg 2.80
Ta 0.0000 0.0000 0.9672  4 Ru 2.63, 4 Ta 2.93
Ta 0.5000 0.5000 0.2373  8 Ta 2.93-3.14, 4 Mg 3.03
Mg 0.0000 0.0000 0.5281  4 Ru 2.80, 5 Ta 3.03-3.12

---

## MgTa2Ru (PBE)

Data for a relaxed MgTa2Ru crystal.

Values from the calculation:
total moment	0.00	μB per atom
formation energy	1.6	kJ per mole of atoms
DOS at the Fermi energy	3.12	states/eV/f.u.
uncorrected energy	-34.51	eV for the cell shown

Unit cell a=5.4368 b=5.4368 c=4.6797 alpha=64.56 beta=64.56 gamma=33.60
With the nearest neighbours (Å) after each atom.
Fractional positions:
Mg 0.5176 0.5176 0.4823  2 Ru 2.74, 6 Ta 2.84-3.02
Ru 0.2585 0.2585 0.2418  6 Ta 2.62-2.82, 2 Mg 2.74
Ta 0.9833 0.9833 0.0166  2 Ru 2.62, 4 Mg 2.84, 2 Ta 2.86
Ta 0.7406 0.7406 0.7594  4 Ru 2.82, 4 Ta 2.86-3.14, 4 Mg 3.02-3.13

---

## Mg2TaRu (PBE)

Data for a relaxed Mg2TaRu crystal.

Values from the calculation:
total moment	0.12	μB per atom
formation energy	18.1	kJ per mole of atoms
DOS at the Fermi energy	3.24	states/eV/f.u.
uncorrected energy	-23.57	eV for the cell shown

Unit cell a=2.8452 b=4.4959 c=5.3730 alpha=90.00 beta=90.00 gamma=90.00
With the nearest neighbours (Å) after each atom.
Fractional positions:
Mg 0.0000 0.0000 0.0091  4 Mg 2.59-2.85
Mg 0.0000 0.0000 0.4909  4 Mg 2.59-2.85
Ru 0.5000 0.5000 0.2500  2 Ta 2.69, 2 Ru 2.85, 8 Mg 2.96
Ta 0.5000 0.5000 0.7500  2 Ru 2.69, 2 Ta 2.85, 8 Mg 3.00

---

## MgTa2Ru (PBE)

Data for a relaxed MgTa2Ru crystal.

Values from the calculation:
total moment	0.00	μB per atom
formation energy	9.6	kJ per mole of atoms
DOS at the Fermi energy	3.03	states/eV/f.u.
uncorrected energy	-34.18	eV for the cell shown

Unit cell a=4.1597 b=4.0330 c=4.0330 alpha=90.00 beta=90.00 gamma=90.00
With the nearest neighbours (Å) after each atom.
Fractional positions:
Ta 0.0000 0.0000 0.0000  4 Ta 2.85, 4 Mg 2.90, 4 Ru 2.90
Ta 0.0000 0.5000 0.5000  4 Ta 2.85, 4 Ru 2.90, 4 Mg 2.90
Mg 0.5000 0.5000 0.0000  4 Ru 2.85, 8 Ta 2.90
Ru 0.5000 0.0000 0.5000  4 Mg 2.85, 8 Ta 2.90

---

## Mg2TaRu (PBE)

Data for a relaxed Mg2TaRu crystal.

Values from the calculation:
total moment	0.00	μB per atom
formation energy	12.2	kJ per mole of atoms
DOS at the Fermi energy	2.70	states/eV/f.u.
uncorrected energy	-23.81	eV for the cell shown

Unit cell a=5.4099 b=5.4099 c=5.4099 alpha=138.54 beta=138.54 gamma=60.07
With the nearest neighbours (Å) after each atom.
Fractional positions:
Mg 0.5000 0.5000 0.0000  4 Mg 2.71, 4 Ta 3.02, 4 Ru 3.02
Mg 0.0000 0.0000 0.0000  4 Mg 2.71, 4 Ru 3.02, 4 Ta 3.02
Ta 0.7500 0.2500 0.5000  4 Ru 2.71, 8 Mg 3.02
Ru 0.2500 0.7500 0.5000  4 Ta 2.71, 8 Mg 3.02

---

## MgTa2Ru (PBE)

Data for a relaxed MgTa2Ru crystal.

Values from the calculation:
total moment	0.37	μB per atom
formation energy	18.1	kJ per mole of atoms
DOS at the Fermi energy	5.95	states/eV/f.u.
uncorrected energy	-33.82	eV for the cell shown

Unit cell a=4.5821 b=4.5821 c=4.5821 alpha=60.00 beta=60.00 gamma=60.00
With the nearest neighbours (Å) after each atom.
Fractional positions:
Mg 0.5000 0.5000 0.5000  4 Ru 2.81, 4 Ta 2.81
Ta 0.2500 0.2500 0.2500  4 Ta 2.81, 4 Mg 2.81
Ta 0.0000 0.0000 0.0000  4 Ta 2.81, 4 Ru 2.81
Ru 0.7500 0.7500 0.7500  4 Ta 2.81, 4 Mg 2.81

---

## MgTa2Ru (PBE)

Data for a relaxed MgTa2Ru crystal.

Values from the calculation:
total moment	0.00	μB per atom
formation energy	14.8	kJ per mole of atoms
DOS at the Fermi energy	2.85	states/eV/f.u.
uncorrected energy	-33.96	eV for the cell shown

Unit cell a=4.9530 b=4.9530 c=2.9658 alpha=90.00 beta=90.00 gamma=110.70
With the nearest neighbours (Å) after each atom.
Fractional positions:
Ta 0.0000 0.0000 0.0000  4 Ta 2.82-2.97, 4 Mg 2.89, 4 Ru 2.89
Ta 0.5000 0.5000 0.0000  4 Ta 2.82-2.97, 4 Ru 2.89, 4 Mg 2.89
Ru 0.0000 0.5000 0.5000  2 Mg 2.82, 8 Ta 2.89, 2 Ru 2.97
Mg 0.5000 0.0000 0.5000  2 Ru 2.82, 8 Ta 2.89, 2 Mg 2.97

---

## Mg2TaRu (PBE)

Data for a relaxed Mg2TaRu crystal.

Values from the calculation:
total moment	0.12	μB per atom
formation energy	14.6	kJ per mole of atoms
DOS at the Fermi energy	2.51	states/eV/f.u.
uncorrected energy	-23.71	eV for the cell shown

Unit cell a=4.6586 b=2.8362 c=5.4074 alpha=74.37 beta=90.00 gamma=90.00
With the nearest neighbours (Å) after each atom.
Fractional positions:
Ru 0.5000 0.2500 0.2500  2 Ta 2.69, 4 Mg 2.77, 2 Ru 2.84
Mg 0.0000 0.4315 0.4868  5 Mg 2.71-3.01, 2 Ru 2.77, 2 Ta 2.99
Mg 0.0000 0.0685 0.0132  5 Mg 2.71-3.01, 2 Ru 2.77, 2 Ta 2.99
Ta 0.5000 0.7500 0.7500  2 Ru 2.69, 2 Ta 2.84, 4 Mg 2.99

---

## MgTaRu (PBE)

Data for a relaxed MgTaRu crystal.

Values from the calculation:
total moment	0.00	μB per atom
formation energy	24.1	kJ per mole of atoms
DOS at the Fermi energy	4.52	states/eV/f.u.
uncorrected energy	-21.97	eV for the cell shown

Unit cell a=4.3388 b=4.3388 c=4.3388 alpha=60.00 beta=60.00 gamma=60.00
With the nearest neighbours (Å) after each atom.
Fractional positions:
Ta 0.0000 0.0000 0.0000  4 Ru 2.66
Ru 0.2500 0.2500 0.2500  4 Ta 2.66, 4 Mg 2.66
Mg 0.5000 0.5000 0.5000  4 Ru 2.66

---

## MgTa2Ru (PBE)

Data for a relaxed MgTa2Ru crystal.

Values from the calculation:
total moment	0.00	μB per atom
formation energy	-3.3	kJ per mole of atoms
DOS at the Fermi energy	3.28	states/eV/f.u.
uncorrected energy	-34.71	eV for the cell shown

Unit cell a=5.4157 b=5.4157 c=4.5803 alpha=64.99 beta=64.99 gamma=34.77
With the nearest neighbours (Å) after each atom.
Fractional positions:
Mg 0.7500 0.7500 0.7500  4 Ru 2.80, 8 Ta 3.00-3.11
Ta 0.9771 0.9771 0.0230  2 Ru 2.65, 4 Ta 2.84
Ta 0.5229 0.5229 0.4770  2 Ru 2.65, 4 Ta 2.84
Ru 0.2500 0.2500 0.2500  4 Ta 2.65, 4 Mg 2.80

---

- Number 10 is which compound?
  Mg2TaRu

---

- Which of these has the highest formation energy?
  number 11

---

- The highest uncorrected energy belongs to which entry?
  number 11

---

What did the eighth record say?
## MgTa2Ru (PBE)

Data for a relaxed MgTa2Ru crystal.

Values from the calculation:
total moment	0.37	μB per atom
formation energy	18.1	kJ per mole of atoms
DOS at the Fermi energy	5.95	states/eV/f.u.
uncorrected energy	-33.82	eV for the cell shown

Unit cell a=4.5821 b=4.5821 c=4.5821 alpha=60.00 beta=60.00 gamma=60.00
With the nearest neighbours (Å) after each atom.
Fractional positions:
Mg 0.5000 0.5000 0.5000  4 Ru 2.81, 4 Ta 2.81
Ta 0.2500 0.2500 0.2500  4 Ta 2.81, 4 Mg 2.81
Ta 0.0000 0.0000 0.0000  4 Ta 2.81, 4 Ru 2.81
Ru 0.7500 0.7500 0.7500  4 Ta 2.81, 4 Mg 2.81